Entry from Alexandria via LeMat-Bulk: a relaxed Nd3SbPbBr crystal (PBE).

Cell: 7.8063 4.4207 11.6772 Å, 90.00 102.28 90.00°
Space group P2_1/m (No. 11)
Unique sites:
Nd  0.0447  0.2500  0.1689 [2 per cell]
Nd  0.2129  0.7500  0.5015 [2 per cell]
Nd  0.4464  0.7500  0.8431 [2 per cell]
Sb  0.2635  0.7500  0.0606 [2 per cell]
Pb  0.1540  0.2500  0.6923 [2 per cell]
Br  0.3781  0.2500  0.3741 [2 per cell]

Calculated values
energy relative to the elements, uncorrected	-1008	meV per atom
final energy	-4.976	eV per atom
spin magnetization	0.00	μB per cell